DFT (GGA-PBE) results for a geometry-optimized HfVAs2Br structure.

POSCAR file:
```
HfVAs2Br
1.0
-0.4129 0.4898 -5.1351
-3.7318 -3.5848 -0.0419
-3.5503 3.6884 0.6373
As Hf Br V
2 1 1 1
Cartesian
-1.8659 -1.7924 -0.0210
-0.2064 0.2449 -2.5675
0.0000 0.0000 0.0000
-1.7751 1.8442 0.3186
-3.8475 0.2967 -2.2699
```

Energy above the most stable polymorph in this dataset   0 meV/atom
Uncorrected formation energy   369 meV/atom
V   138 Å³/f.u.
Space group   P4/mmm, No. 123


DFT (GGA-PBE) results for a geometry-optimized Li6Ag12Pt structure.

POSCAR file:
```
Li6Ag12Pt
1.0
-6.5443 0.9561 1.8303
1.1717 -2.4854 6.2882
1.3762 6.2602 2.4510
Li Ag Pt
6 12 1
Cartesian
-3.4064 0.1423 7.5784
-4.3575 0.7429 3.2879
0.4990 -0.0655 5.4860
-0.5900 4.5886 2.9911
0.3611 3.9880 7.2816
-4.4955 4.7964 5.0834
-4.0254 2.2103 5.8544
-1.2130 1.7224 7.1361
-1.8259 4.4299 5.6925
0.0289 2.5206 4.7151
-2.7834 3.0085 3.4333
-2.1705 0.3010 4.8769
0.5334 1.9472 1.9665
-3.4139 5.3409 7.8802
-1.8193 3.4326 9.3373
-4.5298 2.7836 8.6029
-0.5825 -0.6101 2.6892
-2.1771 1.2982 1.2321
0.0000 0.0000 0.0000
```

ΔE_f   -13.0 kJ/mol of atoms
V   323 Å³/f.u.
Space group   R-3, No. 148


Summary of total magnetic moment in μB/f.u.
3.1; 0.0
(order as listed above)